First-principles (GGA-PBE) data for an optimized crystal structure of BaYP2, as listed in Alexandria. Values from VASP.

Geometry as Quantum ESPRESSO input:
```
&SYSTEM
  ibrav = 0, nat = 4, ntyp = 3
/
ATOMIC_SPECIES
Y 88.91 Y.upf
P 30.97 P.upf
Ba 137.33 Ba.upf
CELL_PARAMETERS angstrom
-2.6350 7.6305 0.9597
-5.4834 5.2150 -2.9708
2.2105 -7.3138 2.7770
ATOMIC_POSITIONS crystal
Y 0.5441 0.5441 0.0000
P 0.9767 0.9767 0.0000
P 0.6815 0.1815 0.5000
Ba 0.2977 0.7977 0.5000
```

Its calculated volume is 28.15 A^3/atom. The value obtained for the calculated total energy is -5.690 eV/atom. The value obtained for the energy of formation is -0.8881 eV/atom. For the energy above the most stable polymorph in this dataset, the calculation gives 0.81 eV/f.u. For the density of states at the Fermi level, the calculation gives 1.20 states/eV per atom.

=====

First-principles (GGA-PBE) data for an optimized crystal structure of BaYP2, as listed in Alexandria. Values from VASP.

Geometry as Quantum ESPRESSO input:
```
&SYSTEM
  ibrav = 0, nat = 4, ntyp = 3
/
ATOMIC_SPECIES
P 30.97 P.upf
Y 88.91 Y.upf
Ba 137.33 Ba.upf
CELL_PARAMETERS angstrom
-0.5880 -1.6063 -6.1737
4.1451 -3.8009 -3.0680
-3.4215 0.2756 5.4091
ATOMIC_POSITIONS crystal
P 0.0000 0.0000 0.0000
P 0.2500 0.7500 0.5000
Y 0.5000 0.5000 0.0000
Ba 0.7500 0.2500 0.5000
```

Its calculated volume is 26.00 A^3/atom. The value obtained for the calculated total energy is -5.380 eV/atom. The value obtained for the energy of formation is -0.5785 eV/atom. For the energy above the most stable polymorph in this dataset, the calculation gives 2.05 eV/f.u. For the density of states at the Fermi level, the calculation gives 0.47 states/eV per atom.

=====

First-principles (GGA-PBE) data for an optimized crystal structure of Ba2YP, as listed in Alexandria. Values from VASP.

Geometry as Quantum ESPRESSO input:
```
&SYSTEM
  ibrav = 0, nat = 4, ntyp = 3
/
ATOMIC_SPECIES
P 30.97 P.upf
Y 88.91 Y.upf
Ba 137.33 Ba.upf
CELL_PARAMETERS angstrom
-1.9456 2.0730 9.8642
1.9456 -2.0730 9.8642
1.9456 2.0730 -9.8642
ATOMIC_POSITIONS crystal
P 0.5000 0.0000 0.5000
Y 0.0000 0.5000 0.5000
Ba 0.6572 0.6572 0.0000
Ba 0.3428 0.3428 0.0000
```

Its calculated volume is 39.78 A^3/atom. The value obtained for the calculated total energy is -4.455 eV/atom. The value obtained for the energy of formation is -0.5254 eV/atom. For the density of states at the Fermi level, the calculation gives 0.97 states/eV per atom.

=====

First-principles (GGA-PBE) data for an optimized crystal structure of Ba2YP, as listed in Alexandria. Values from VASP.

Geometry as Quantum ESPRESSO input:
```
&SYSTEM
  ibrav = 0, nat = 4, ntyp = 3
/
ATOMIC_SPECIES
Ba 137.33 Ba.upf
P 30.97 P.upf
Y 88.91 Y.upf
CELL_PARAMETERS angstrom
3.2613 -4.6347 0.0000
3.2613 4.6347 0.0000
0.0000 0.0000 4.4641
ATOMIC_POSITIONS crystal
Ba 0.0000 0.5000 0.0000
Ba 0.5000 0.0000 0.0000
P 0.0000 0.0000 0.5000
Y 0.5000 0.5000 0.5000
```

Its calculated volume is 33.74 A^3/atom. The value obtained for the calculated total energy is -3.982 eV/atom. The value obtained for the energy of formation is -0.0522 eV/atom. For the density of states at the Fermi level, the calculation gives 1.27 states/eV per atom.

=====

First-principles (GGA-PBE) data for an optimized crystal structure of Ba3YP, as listed in Alexandria. Values from VASP.

Geometry as Quantum ESPRESSO input:
```
&SYSTEM
  ibrav = 0, nat = 5, ntyp = 3
/
ATOMIC_SPECIES
P 30.97 P.upf
Ba 137.33 Ba.upf
Y 88.91 Y.upf
CELL_PARAMETERS angstrom
-1.9587 5.7516 1.6612
-4.9854 -0.5994 -3.8031
-3.3146 -2.4974 4.7386
ATOMIC_POSITIONS crystal
P 0.0000 0.0000 0.0000
Ba 0.0000 0.0000 0.5000
Ba 0.0000 0.5000 0.0000
Ba 0.5000 0.0000 0.0000
Y 0.5000 0.5000 0.5000
```

Its calculated volume is 49.99 A^3/atom. The value obtained for the calculated total energy is -3.663 eV/atom. The value obtained for the energy of formation is -0.1341 eV/atom. For the energy above the most stable polymorph in this dataset, the calculation gives 0.00 eV/f.u. For the density of states at the Fermi level, the calculation gives 1.40 states/eV per atom.

=====

First-principles (GGA-PBE) data for an optimized crystal structure of Ba2YP, as listed in Alexandria. Values from VASP.

Geometry as Quantum ESPRESSO input:
```
&SYSTEM
  ibrav = 0, nat = 8, ntyp = 3
/
ATOMIC_SPECIES
P 30.97 P.upf
Ba 137.33 Ba.upf
Y 88.91 Y.upf
CELL_PARAMETERS angstrom
-5.0813 7.4423 7.5273
-10.3367 -5.2873 -1.7502
-7.1848 -0.6200 4.9207
ATOMIC_POSITIONS crystal
P 0.2500 0.7500 0.5000
P 0.5000 0.5000 0.0000
Ba 0.4775 0.1250 0.2500
Ba 0.2725 0.6250 0.2500
Ba 0.3750 0.5225 0.7500
Ba 0.8750 0.7275 0.7500
Y 0.0000 0.0000 0.0000
Y 0.7500 0.2500 0.5000
```

Its calculated volume is 46.52 A^3/atom. The value obtained for the calculated total energy is -4.299 eV/atom. The value obtained for the energy of formation is -0.3686 eV/atom. For the density of states at the Fermi level, the calculation gives 1.11 states/eV per atom.

=====

First-principles (GGA-PBE) data for an optimized crystal structure of Ba2YP, as listed in Alexandria. Values from VASP.

Geometry as Quantum ESPRESSO input:
```
&SYSTEM
  ibrav = 0, nat = 4, ntyp = 3
/
ATOMIC_SPECIES
P 30.97 P.upf
Ba 137.33 Ba.upf
Y 88.91 Y.upf
CELL_PARAMETERS angstrom
-7.7806 -7.2196 3.2178
-5.9034 -9.3894 -0.0723
-4.1351 -9.5171 3.9169
ATOMIC_POSITIONS crystal
P 0.5000 0.5000 0.5000
Ba 0.7772 0.7772 0.7772
Ba 0.2228 0.2228 0.2228
Y 0.0000 0.0000 0.0000
```

Its calculated volume is 44.56 A^3/atom. The value obtained for the calculated total energy is -4.171 eV/atom. The value obtained for the energy of formation is -0.2411 eV/atom. For the density of states at the Fermi level, the calculation gives 1.14 states/eV per atom.

=====

First-principles (GGA-PBE) data for an optimized crystal structure of BaYP3, as listed in Alexandria. Values from VASP.

Geometry as Quantum ESPRESSO input:
```
&SYSTEM
  ibrav = 0, nat = 5, ntyp = 3
/
ATOMIC_SPECIES
P 30.97 P.upf
Y 88.91 Y.upf
Ba 137.33 Ba.upf
CELL_PARAMETERS angstrom
-0.5978 -4.2228 -3.1303
-2.6027 -2.4994 3.8688
-4.5669 1.9771 -1.7951
ATOMIC_POSITIONS crystal
P 0.0000 0.0000 0.5000
P 0.0000 0.5000 0.0000
P 0.5000 0.0000 0.0000
Y 0.0000 0.0000 0.0000
Ba 0.5000 0.5000 0.5000
```

Its calculated volume is 29.61 A^3/atom. The value obtained for the calculated total energy is -5.295 eV/atom. The value obtained for the energy of formation is -0.3714 eV/atom. For the energy above the most stable polymorph in this dataset, the calculation gives 0.00 eV/f.u. For the density of states at the Fermi level, the calculation gives 1.06 states/eV per atom.

=====

First-principles (GGA-PBE) data for an optimized crystal structure of BaYP2, as listed in Alexandria. Values from VASP.

Geometry as Quantum ESPRESSO input:
```
&SYSTEM
  ibrav = 0, nat = 4, ntyp = 3
/
ATOMIC_SPECIES
Y 88.91 Y.upf
Ba 137.33 Ba.upf
P 30.97 P.upf
CELL_PARAMETERS angstrom
7.9827 0.0138 0.0084
6.8984 4.0170 0.0084
6.8984 1.8686 3.5560
ATOMIC_POSITIONS crystal
Y 0.5811 0.5811 0.5811
Ba 0.7530 0.7530 0.7530
P 0.9858 0.9858 0.9858
P 0.1800 0.1800 0.1800
```

Its calculated volume is 28.36 A^3/atom. The value obtained for the calculated total energy is -5.841 eV/atom. The value obtained for the energy of formation is -1.0395 eV/atom. For the energy above the most stable polymorph in this dataset, the calculation gives 0.20 eV/f.u. For the density of states at the Fermi level, the calculation gives 0.74 states/eV per atom.

=====

First-principles (GGA-PBE) data for an optimized crystal structure of BaYP3, as listed in Alexandria. Values from VASP.

Geometry as Quantum ESPRESSO input:
```
&SYSTEM
  ibrav = 0, nat = 5, ntyp = 3
/
ATOMIC_SPECIES
Ba 137.33 Ba.upf
P 30.97 P.upf
Y 88.91 Y.upf
CELL_PARAMETERS angstrom
-4.7791 1.4702 2.0147
1.9922 -0.3696 4.9955
1.5005 5.1732 -0.2157
ATOMIC_POSITIONS crystal
Ba 0.0000 0.0000 0.0000
P 0.0000 0.0000 0.5000
P 0.5000 0.0000 0.0000
P 0.0000 0.5000 0.0000
Y 0.5000 0.5000 0.5000
```

Its calculated volume is 31.33 A^3/atom. The value obtained for the calculated total energy is -4.106 eV/atom. The value obtained for the energy of formation is 0.8177 eV/atom. For the energy above the most stable polymorph in this dataset, the calculation gives 5.95 eV/f.u. For the density of states at the Fermi level, the calculation gives 1.18 states/eV per atom.

=====

First-principles (GGA-PBE) data for an optimized crystal structure of BaY2ZrP, as listed in Alexandria. Values from VASP.

Geometry as Quantum ESPRESSO input:
```
&SYSTEM
  ibrav = 0, nat = 5, ntyp = 4
/
ATOMIC_SPECIES
Ba 137.33 Ba.upf
P 30.97 P.upf
Zr 91.22 Zr.upf
Y 88.91 Y.upf
CELL_PARAMETERS angstrom
5.6395 0.0000 0.0000
0.0000 5.6395 0.0000
0.0000 0.0000 5.4124
ATOMIC_POSITIONS crystal
Ba 0.0000 0.0000 0.0000
P 0.0000 0.0000 0.5000
Zr 0.5000 0.5000 0.5000
Y 0.5000 0.0000 0.0000
Y 0.0000 0.5000 0.0000
```

Its calculated volume is 34.43 A^3/atom. The value obtained for the calculated total energy is -4.319 eV/atom. The value obtained for the energy of formation is 1.4431 eV/atom. For the density of states at the Fermi level, the calculation gives 1.70 states/eV per atom.

=====

First-principles (GGA-PBE) data for an optimized crystal structure of BaZnP, as listed in Alexandria. Values from VASP.

Geometry as Quantum ESPRESSO input:
```
&SYSTEM
  ibrav = 0, nat = 6, ntyp = 3
/
ATOMIC_SPECIES
Zn 65.41 Zn.upf
P 30.97 P.upf
Ba 137.33 Ba.upf
CELL_PARAMETERS angstrom
4.2201 -0.0049 -0.0006
0.0039 6.7731 0.0632
-2.1087 0.0766 5.9358
ATOMIC_POSITIONS crystal
Zn 0.4120 0.0218 0.2365
Zn 0.2490 0.7679 0.9118
P 0.6763 0.6494 0.7666
P 0.9845 0.1410 0.3812
Ba 0.9703 0.6273 0.3542
Ba 0.6907 0.1628 0.7939
```

Its calculated volume is 28.27 A^3/atom. The value obtained for the calculated total energy is -3.556 eV/atom. The value obtained for the energy of formation is -0.6872 eV/atom. For the density of states at the Fermi level, the calculation gives 0.18 states/eV per atom.